Computed, not measured: KMnH4Cl3O2 after structural relaxation at the PBE with a Hubbard U level of DFT.

Geometry as POSCAR:
```
KMnH4Cl3O2
1.0
-5.9737 1.6019 0.6387
0.9308 6.1316 0.0459
1.4987 -3.7651 -10.4397
K Mn H Cl O
2 2 8 6 4
direct
0.1402 0.1400 0.9092 K
0.8598 0.8600 0.0908 K
0.6706 0.6709 0.6779 Mn
0.3294 0.3291 0.3221 Mn
0.0096 0.2005 0.4256 H
0.9904 0.7995 0.5744 H
0.2009 0.0098 0.4255 H
0.7991 0.9902 0.5745 H
0.5444 0.3536 0.7824 H
0.4556 0.6464 0.2176 H
0.3525 0.5442 0.7819 H
0.6475 0.4558 0.2181 H
0.7083 0.2894 0.4990 Cl
0.2917 0.7106 0.5010 Cl
0.6003 0.0475 0.8374 Cl
0.3997 0.9525 0.1626 Cl
0.0444 0.5983 0.8351 Cl
0.9556 0.4017 0.1649 Cl
0.1284 0.1280 0.3835 O
0.8716 0.8720 0.6165 O
0.5059 0.5068 0.7713 O
0.4941 0.4932 0.2287 O
```

Properties
As for the symmetry: No. 2. The calculation puts the final energy at -103.6 eV/cell.